I3O8: single point on PBEsol structure, SCAN.

abc: 7.4964 7.2150 13.8386
angles: 90.00 121.70 90.00
Last column: nearest neighbours and their distance in Å.
Space group P2_1/c (No. 14)
Symmetry-distinct sites (fractional):
I 0.0675 0.2088 0.3924 (multiplicity 4)  3 O 1.81-1.93
I 0.1353 0.7155 0.4040 (multiplicity 4)  3 O 1.84-2.04
I 0.4317 0.0637 0.1659 (multiplicity 4)  3 O 1.81-1.92
O 0.0406 0.5463 0.6223 (multiplicity 4)  1 I 1.91
O 0.0533 0.1958 0.5608 (multiplicity 4)  1 I 1.84
O 0.0944 0.2465 0.2623 (multiplicity 4)  2 I 1.93-2.04
O 0.2472 0.5519 0.9145 (multiplicity 4)  1 I 1.85
O 0.3041 0.6044 0.3127 (multiplicity 4)  1 I 1.87
O 0.3323 0.2105 0.9882 (multiplicity 4)  1 I 1.81
O 0.3602 0.6575 0.5754 (multiplicity 4)  2 I 1.92-2.11
O 0.4680 0.0751 0.7074 (multiplicity 4)  1 I 1.81

Summary:
formation energy without anion corrections: -155 meV/atom


IO3: single point on PBEsol structure, SCAN.

abc: 5.1873 6.7313 6.7940
angles: 98.37 95.00 106.34
Last column: nearest neighbours and their distance in Å.
Space group P-1 (No. 2)
Symmetry-distinct sites (fractional):
I 0.0036 0.1724 0.1727 (multiplicity 2)  6 O 1.84-1.97
I 0.1951 0.3456 0.7199 (multiplicity 2)  1 O 1.75
O 0.1536 0.7031 0.3482 (multiplicity 2)  1 I 1.75
O 0.2000 0.0437 0.6961 (multiplicity 2)  2 I 1.92-2.02
O 0.2099 0.3723 0.0225 (multiplicity 2)  2 I 1.94-2.03
O 0.2178 0.9850 0.0824 (multiplicity 2)  2 I 1.97
O 0.2510 0.6870 0.7905 (multiplicity 2)  1 I 1.84
O 0.2600 0.3000 0.3940 (multiplicity 2)  1 I 1.84

Summary:
formation energy without anion corrections: -134 meV/atom


I2O5: single point on PBEsol structure, SCAN.

abc: 10.8186 5.0344 7.9962
angles: 90.00 107.82 90.00
Last column: nearest neighbours and their distance in Å.
Space group P2_1/c (No. 14)
Symmetry-distinct sites (fractional):
I 0.1257 0.1293 0.2116 (multiplicity 4)  3 O 1.81-1.91
I 0.3737 0.6603 0.1515 (multiplicity 4)  3 O 1.80-1.99
O 0.0087 0.6497 0.6524 (multiplicity 4)  1 I 1.85
O 0.1960 0.0409 0.4412 (multiplicity 4)  1 I 1.81
O 0.2501 0.5363 0.6192 (multiplicity 4)  2 I 1.91-1.99
O 0.3079 0.0179 0.7996 (multiplicity 4)  1 I 1.80
O 0.4944 0.6606 0.8410 (multiplicity 4)  1 I 1.90

Summary:
formation energy without anion corrections: -294 meV/atom


OsPtI2O: single point on PBEsol structure, SCAN.

abc: 5.3565 5.3565 3.6454
angles: 90.00 90.00 90.00
Last column: nearest neighbours and their distance in Å.
Space group P4/mmm (No. 123)
Symmetry-distinct sites (fractional):
Os 0.0000 0.0000 0.0000 (multiplicity 1)  8 I 3.24
Pt 0.5000 0.5000 0.5000 (multiplicity 1)  2 O 1.82
I 0.0000 0.5000 0.5000 (multiplicity 2)  2 Pt 2.68
O 0.5000 0.5000 0.0000 (multiplicity 1)  2 Pt 1.82

Summary:
formation energy without anion corrections: 1205 meV/atom


OsSI2O: single point on PBEsol structure, SCAN.

abc: 5.2208 5.2208 3.3881
angles: 90.00 90.00 90.00
Last column: nearest neighbours and their distance in Å.
Space group P4/mmm (No. 123)
Symmetry-distinct sites (fractional):
Os 0.0000 0.0000 0.0000 (multiplicity 1)  8 I 3.11, 2 Os 3.39
S 0.5000 0.5000 0.5000 (multiplicity 1)  2 O 1.69
I 0.0000 0.5000 0.5000 (multiplicity 2)  2 S 2.61
O 0.5000 0.5000 0.0000 (multiplicity 1)  2 S 1.69

Summary:
formation energy without anion corrections: 1225 meV/atom


SbOsIO2: single point on PBEsol structure, SCAN.

abc: 3.9628 3.9628 5.6222
angles: 90.00 90.00 90.00
Last column: nearest neighbours and their distance in Å.
Space group P4/mmm (No. 123)
Symmetry-distinct sites (fractional):
Sb 0.0000 0.0000 0.0000 (multiplicity 1)  4 I 2.80, 2 Os 2.81
Os 0.0000 0.0000 0.5000 (multiplicity 1)  4 O 1.98
I 0.5000 0.5000 0.0000 (multiplicity 1)  4 Sb 2.80
O 0.0000 0.5000 0.5000 (multiplicity 2)  2 Os 1.98

Summary:
formation energy without anion corrections: -152 meV/atom


TiOsIO2: single point on PBEsol structure, SCAN.

abc: 3.7687 3.7687 5.9707
angles: 90.00 90.00 90.00
Last column: nearest neighbours and their distance in Å.
Space group P4/mmm (No. 123)
Symmetry-distinct sites (fractional):
Ti 0.0000 0.0000 0.0000 (multiplicity 1)  4 O 1.88
Os 0.5000 0.5000 0.5000 (multiplicity 1)  4 I 2.66
I 0.0000 0.0000 0.5000 (multiplicity 1)  4 Os 2.66
O 0.0000 0.5000 0.0000 (multiplicity 2)  2 Ti 1.88

Summary:
formation energy without anion corrections: -508 meV/atom


OsWI2O: single point on PBEsol structure, SCAN.

abc: 5.4216 5.4216 3.6382
angles: 90.00 90.00 90.00
Last column: nearest neighbours and their distance in Å.
Space group P4/mmm (No. 123)
Symmetry-distinct sites (fractional):
Os 0.0000 0.0000 0.0000 (multiplicity 1)  2 O 1.82
W 0.5000 0.5000 0.5000 (multiplicity 1)  8 I 3.26, 2 W 3.64
I 0.0000 0.5000 0.0000 (multiplicity 2)  2 Os 2.71
O 0.0000 0.0000 0.5000 (multiplicity 1)  2 Os 1.82

Summary:
formation energy without anion corrections: 1106 meV/atom


ZnOsIO2: single point on PBEsol structure, SCAN.

abc: 3.7483 3.7483 7.8156
angles: 90.00 90.00 90.00
Last column: nearest neighbours and their distance in Å.
Space group P4/mmm (No. 123)
Symmetry-distinct sites (fractional):
Zn 0.0000 0.0000 0.0000 (multiplicity 1)  4 I 2.65
Os 0.5000 0.5000 0.5000 (multiplicity 1)  4 O 1.87
I 0.5000 0.5000 0.0000 (multiplicity 1)  4 Zn 2.65
O 0.0000 0.5000 0.5000 (multiplicity 2)  2 Os 1.87

Summary:
formation energy without anion corrections: -256 meV/atom


ZrOsI2O: single point on PBEsol structure, SCAN.

abc: 5.5042 5.5042 3.6701
angles: 90.00 90.00 90.00
Last column: nearest neighbours and their distance in Å.
Space group P4/mmm (No. 123)
Symmetry-distinct sites (fractional):
Zr 0.0000 0.0000 0.0000 (multiplicity 1)  8 I 3.31, 2 Zr 3.67
Os 0.5000 0.5000 0.5000 (multiplicity 1)  2 O 1.84
I 0.0000 0.5000 0.5000 (multiplicity 2)  2 Os 2.75
O 0.5000 0.5000 0.0000 (multiplicity 1)  2 Os 1.84

Summary:
formation energy without anion corrections: 131 meV/atom


P3Pb5IO12: single point on PBEsol structure, SCAN.

abc: 10.2275 10.2275 7.3071
angles: 90.00 90.00 120.00
Last column: nearest neighbours and their distance in Å.
Space group P6_3/m (No. 176)
Symmetry-distinct sites (fractional):
P 0.0423 0.6262 0.2500 (multiplicity 6)  4 O 1.54-1.58
Pb 0.0134 0.2728 0.2500 (multiplicity 6)  5 O 2.36-2.64
Pb 0.3333 0.6667 0.5067 (multiplicity 4)  9 O 2.59-2.87
I 0.0000 0.0000 0.0000 (multiplicity 2)  6 Pb 3.28, 6 O 3.42, 2 I 3.65
O 0.0967 0.7298 0.0781 (multiplicity 12)  1 P 1.56
O 0.1282 0.4878 0.7500 (multiplicity 6)  1 P 1.54
O 0.1344 0.5394 0.2500 (multiplicity 6)  1 P 1.58

Summary:
formation energy without anion corrections: -1949 meV/atom


PPdIO2: single point on PBEsol structure, SCAN.

abc: 3.5808 3.5808 5.8681
angles: 90.00 90.00 90.00
Last column: nearest neighbours and their distance in Å.
Space group P4/mmm (No. 123)
Symmetry-distinct sites (fractional):
P 0.0000 0.0000 0.0000 (multiplicity 1)  4 O 1.79
Pd 0.5000 0.5000 0.5000 (multiplicity 1)  4 I 2.53
I 0.0000 0.0000 0.5000 (multiplicity 1)  4 Pd 2.53
O 0.0000 0.5000 0.0000 (multiplicity 2)  2 P 1.79

Summary:
formation energy without anion corrections: -322 meV/atom


RbPI2O: single point on PBEsol structure, SCAN.

abc: 6.4639 6.4639 4.1952
angles: 90.00 90.00 90.00
Last column: nearest neighbours and their distance in Å.
Space group P4/mmm (No. 123)
Symmetry-distinct sites (fractional):
Rb 0.0000 0.0000 0.0000 (multiplicity 1)  2 O 2.10
P 0.5000 0.5000 0.5000 (multiplicity 1)  8 I 3.85, 2 P 4.20
I 0.0000 0.5000 0.0000 (multiplicity 2)  2 Rb 3.23
O 0.0000 0.0000 0.5000 (multiplicity 1)  2 Rb 2.10

Summary:
formation energy without anion corrections: 921 meV/atom


RePI2O: single point on PBEsol structure, SCAN.

abc: 5.3914 5.3914 3.7222
angles: 90.00 90.00 90.00
Last column: nearest neighbours and their distance in Å.
Space group P4/mmm (No. 123)
Symmetry-distinct sites (fractional):
Re 0.0000 0.0000 0.0000 (multiplicity 1)  2 O 1.86
P 0.5000 0.5000 0.5000 (multiplicity 1)  8 I 3.28
I 0.0000 0.5000 0.0000 (multiplicity 2)  2 Re 2.70
O 0.0000 0.0000 0.5000 (multiplicity 1)  2 Re 1.86

Summary:
formation energy without anion corrections: 457 meV/atom


PRhI2O: single point on PBEsol structure, SCAN.

abc: 5.2798 5.2798 3.4072
angles: 90.00 90.00 90.00
Last column: nearest neighbours and their distance in Å.
Space group P4/mmm (No. 123)
Symmetry-distinct sites (fractional):
P 0.0000 0.0000 0.0000 (multiplicity 1)  2 O 1.70
Rh 0.5000 0.5000 0.5000 (multiplicity 1)  8 I 3.14, 2 Rh 3.41
I 0.0000 0.5000 0.0000 (multiplicity 2)  2 P 2.64
O 0.0000 0.0000 0.5000 (multiplicity 1)  2 P 1.70

Summary:
formation energy without anion corrections: 298 meV/atom


P2RuIO: single point on PBEsol structure, SCAN.

abc: 5.0798 5.0798 4.8066
angles: 90.00 90.00 90.00
Last column: nearest neighbours and their distance in Å.
Space group P4/mmm (No. 123)
Symmetry-distinct sites (fractional):
P 0.0000 0.5000 0.0000 (multiplicity 2)  2 I 2.54
Ru 0.0000 0.0000 0.5000 (multiplicity 1)  2 I 2.40
I 0.0000 0.0000 0.0000 (multiplicity 1)  2 Ru 2.40, 4 P 2.54
O 0.5000 0.5000 0.5000 (multiplicity 1)  8 P 3.50, 4 Ru 3.59

Summary:
formation energy without anion corrections: 2295 meV/atom
energy relative to the lowest polymorph listed for this composition: 2.084 eV per atom


PRuI2O: single point on PBEsol structure, SCAN.

abc: 5.2288 5.2288 3.3815
angles: 90.00 90.00 90.00
Last column: nearest neighbours and their distance in Å.
Space group P4/mmm (No. 123)
Symmetry-distinct sites (fractional):
P 0.0000 0.0000 0.0000 (multiplicity 1)  2 O 1.69
Ru 0.5000 0.5000 0.5000 (multiplicity 1)  8 I 3.11, 2 Ru 3.38
I 0.0000 0.5000 0.0000 (multiplicity 2)  2 P 2.61
O 0.0000 0.0000 0.5000 (multiplicity 1)  2 P 1.69

Summary:
formation energy without anion corrections: 545 meV/atom


P2RuIO: single point on PBEsol structure, SCAN.

abc: 4.7915 4.7915 3.6993
angles: 90.00 90.00 90.00
Last column: nearest neighbours and their distance in Å.
Space group P4/mmm (No. 123)
Symmetry-distinct sites (fractional):
P 0.0000 0.5000 0.0000 (multiplicity 2)  2 Ru 2.40
Ru 0.0000 0.0000 0.0000 (multiplicity 1)  2 O 1.85
I 0.5000 0.5000 0.5000 (multiplicity 1)  8 P 3.03, 4 O 3.39
O 0.0000 0.0000 0.5000 (multiplicity 1)  2 Ru 1.85

Summary:
formation energy without anion corrections: 211 meV/atom
energy relative to the lowest polymorph listed for this composition: 0.000 eV per atom


P2SIO: single point on PBEsol structure, SCAN.

abc: 5.1538 5.1538 5.0503
angles: 90.00 90.00 90.00
Last column: nearest neighbours and their distance in Å.
Space group P4/mmm (No. 123)
Symmetry-distinct sites (fractional):
P 0.0000 0.5000 0.0000 (multiplicity 2)  2 I 2.58
S 0.0000 0.0000 0.5000 (multiplicity 1)  2 I 2.53
I 0.0000 0.0000 0.0000 (multiplicity 1)  2 S 2.53, 4 P 2.58
O 0.5000 0.5000 0.5000 (multiplicity 1)  8 P 3.61, 4 S 3.64

Summary:
formation energy without anion corrections: 1933 meV/atom


Sb2PIO: single point on PBEsol structure, SCAN.

abc: 5.2528 5.2528 3.8477
angles: 90.00 90.00 90.00
Last column: nearest neighbours and their distance in Å.
Space group P4/mmm (No. 123)
Symmetry-distinct sites (fractional):
Sb 0.0000 0.5000 0.0000 (multiplicity 2)  2 O 2.63
P 0.0000 0.0000 0.5000 (multiplicity 1)  2 O 1.92
I 0.5000 0.5000 0.5000 (multiplicity 1)  8 Sb 3.26
O 0.0000 0.0000 0.0000 (multiplicity 1)  2 P 1.92

Summary:
formation energy without anion corrections: 522 meV/atom


SbPIO2: single point on PBEsol structure, SCAN.

abc: 4.0600 4.0600 5.1440
angles: 90.00 90.00 90.00
Last column: nearest neighbours and their distance in Å.
Space group P4/mmm (No. 123)
Symmetry-distinct sites (fractional):
Sb 0.0000 0.0000 0.0000 (multiplicity 1)  4 I 2.87
P 0.5000 0.5000 0.5000 (multiplicity 1)  4 O 2.03
I 0.5000 0.5000 0.0000 (multiplicity 1)  2 P 2.57, 4 Sb 2.87
O 0.0000 0.5000 0.5000 (multiplicity 2)  2 P 2.03

Summary:
formation energy without anion corrections: 282 meV/atom


SiP2IO: single point on PBEsol structure, SCAN.

abc: 4.8459 4.8459 3.3936
angles: 90.00 90.00 90.00
Last column: nearest neighbours and their distance in Å.
Space group P4/mmm (No. 123)
Symmetry-distinct sites (fractional):
Si 0.0000 0.0000 0.0000 (multiplicity 1)  2 O 1.70
P 0.0000 0.5000 0.0000 (multiplicity 2)  2 Si 2.42
I 0.5000 0.5000 0.5000 (multiplicity 1)  8 P 2.96
O 0.0000 0.0000 0.5000 (multiplicity 1)  2 Si 1.70

Summary:
formation energy without anion corrections: 16 meV/atom


In g cm⁻³, the calculated density values for the records above are, in order, 5.31; 5.21; 5.35; 10.40; 8.85; 8.86; 7.77; 10.00; 6.27; 8.23; 7.26; 6.54; 3.66; 7.47; 7.06; 4.10; 7.22; 5.98; 2.93; 6.53; 6.10; 4.85.
In eV per atom, the E_tot values for the records above are, in order, -14.7075; -13.9929; -15.2423; -43.1520; -31.0192; -31.8205; -27.9312; -43.1507; -27.1760; -36.3271; -26.7882; -18.7971; -21.2498; -31.7847; -24.4787; -17.4239; -24.4433; -19.5079; -12.7463; -25.0568; -19.0911; -14.7412.